CeYCdIr | PBE | relaxed

Properties
The space group is F-43m, No. 216. Its total energy is -23.8 eV per cell.

```
CeYCdIr
1.0
0.0000 3.6104 3.6104
3.6104 0.0000 3.6104
3.6104 3.6104 0.0000
Ce Y Cd Ir
1 1 1 1
direct
0.0000 0.0000 0.0000
0.5000 0.5000 0.5000
0.7500 0.7500 0.7500
0.2500 0.2500 0.2500
```

---

AcB2H4 | PBE | relaxed

Properties
The space group is I4/mmm, No. 139. Its total energy is -27.3 eV per cell.

```
AcB2H4
1.0
-3.5485 3.5485 1.6552
3.5485 -3.5485 1.6552
3.5485 3.5485 -1.6552
Ac B H
1 2 4
direct
0.0000 0.0000 0.0000
0.2500 0.7500 0.5000
0.7500 0.2500 0.5000
0.2462 0.5000 0.7462
0.5000 0.2462 0.7462
0.5000 0.7538 0.2538
0.7538 0.5000 0.2538
```

---

Si2AsAu | PBE | relaxed

Properties
The space group is P4/mmm, No. 123. Its raw formation energy is 0.409 eV/atom.

```
Si2AsAu
1.0
3.0921 0.0000 0.0000
0.0000 3.0921 0.0000
0.0000 0.0000 7.1466
Si As Au
2 1 1
direct
0.0000 0.0000 0.2456
0.0000 0.0000 0.7544
0.5000 0.5000 0.5000
0.5000 0.5000 0.0000
```

---

CoOs | PBE | relaxed

Properties
The space group is Cmme, No. 67. Its total energy is -34.7 eV per cell.

```
CoOs
1.0
1.3641 -2.2442 0.0000
1.3641 2.2442 0.0000
0.0000 0.0000 8.6838
Co Os
2 2
direct
0.2500 0.7500 0.8856
0.7500 0.2500 0.1144
0.2500 0.7500 0.3654
0.7500 0.2500 0.6346
```

---

LiZn3Rh3O8 | PBE | relaxed

Properties
The space group is R-3m, No. 166. Its raw formation energy is -0.835 eV/atom.

```
LiZn3Rh3O8
1.0
3.0299 1.7493 4.8907
-3.0299 1.7493 4.8907
0.0000 -3.4987 4.8907
Li Zn Rh O
1 3 3 8
direct
0.0000 0.0000 0.0000
0.0000 0.0000 0.5000
0.0000 0.5000 0.0000
0.5000 0.0000 0.0000
0.0000 0.5000 0.5000
0.5000 0.0000 0.5000
0.5000 0.5000 0.0000
0.2398 0.2398 0.7569
0.2398 0.7569 0.2398
0.2431 0.7602 0.7602
0.2571 0.2571 0.2571
0.7429 0.7429 0.7429
0.7569 0.2398 0.2398
0.7602 0.2431 0.7602
0.7602 0.7602 0.2431
```

---

PaTi2S | PBE | relaxed

Properties
The space group is R3m, No. 160. Its raw formation energy is -0.562 eV/atom.

```
PaTi2S
1.0
1.6074 0.9280 8.2543
-1.6074 0.9280 8.2543
0.0000 -1.8561 8.2543
Pa Ti S
1 2 1
direct
0.0000 0.0000 0.0000
0.5637 0.5637 0.5637
0.7703 0.7703 0.7703
0.1676 0.1676 0.1676
```

---

Y11Mg9Zn4 | PBE | relaxed

Properties
The space group is Cmmm, No. 65. Its total energy is -94.9 eV per cell.

```
Y11Mg9Zn4
1.0
7.3624 -11.1367 0.0000
7.3624 11.1367 0.0000
0.0000 0.0000 3.7924
Y Mg Zn
11 9 4
direct
0.0000 0.0000 0.0000
0.0776 0.4155 0.0000
0.1601 0.8399 0.0000
0.2903 0.2903 0.0000
0.3614 0.6386 0.0000
0.4155 0.0776 0.0000
0.5845 0.9224 0.0000
0.6386 0.3614 0.0000
0.7097 0.7097 0.0000
0.8399 0.1601 0.0000
0.9224 0.5845 0.0000
0.0640 0.2133 0.5000
0.1470 0.6322 0.5000
0.2133 0.0640 0.5000
0.3678 0.8530 0.5000
0.5000 0.5000 0.5000
0.6322 0.1470 0.5000
0.7867 0.9360 0.5000
0.8530 0.3678 0.5000
0.9360 0.7867 0.5000
0.2605 0.4512 0.5000
0.4512 0.2605 0.5000
0.5488 0.7395 0.5000
0.7395 0.5488 0.5000
```

---

NdHo2 | PBE | relaxed

Properties
The value obtained for the excess energy over the best structure of this formula in the dataset is 292 meV per atom. The space group is Fd-3m, No. 227.

```
NdHo2
1.0
0.0000 4.6884 4.6884
4.6884 0.0000 4.6884
4.6884 4.6884 0.0000
Nd Ho
2 4
direct
0.1250 0.1250 0.1250
0.8750 0.8750 0.8750
0.0000 0.5000 0.5000
0.5000 0.0000 0.5000
0.5000 0.5000 0.0000
0.5000 0.5000 0.5000
```